[1]
The following is a DFT calculation (GGA-PBE) of an optimized crystal structure of Ba4TmTl3O12.

The space group is Im-3m (No. 229) and the conventional cell measures 8.6948, 8.6948 and 8.6948 Å, with angles of 90.00, 90.00 and 90.00 degrees. Symmetry generates all atoms from Ba at (0.2500, 0.2500, 0.2500), Tm at (0.0000, 0.0000, 0.0000), Tl at (0.0000, 0.0000, 0.5000), O at (0.0000, 0.0000, 0.2504) and O at (0.0000, 0.2500, 0.5000).

The crystal system is cubic. The formation energy without anion corrections is -1.652 eV per atom. The density of states at the Fermi level comes out at 14.87 states/eV/f.u.

[2]
The following is a DFT calculation (GGA-PBE) of an optimized crystal structure of AlCrP.

The space group is P3m1 (No. 156) and the conventional cell measures 2.8861, 2.8861 and 5.7014 Å, with angles of 90.00, 90.00 and 120.00 degrees. Symmetry generates all atoms from Al at (0.0000, 0.0000, 0.0000), Cr at (0.6667, 0.3333, 0.3473) and P at (0.3333, 0.6667, 0.6195).

The crystal system is trigonal. For the formation energy, the calculation gives -189 meV/atom. As for the energy above the most stable polymorph in this dataset: 0.62 eV per formula unit. The density of states at the Fermi level comes out at 1.21 states/eV/f.u.